An optimized crystal structure of TbPmGdTh. Source: the Alexandria database, functional PBE-GGA.

Structure (CIF):
```
data_TbPmGdTh
_cell_length_a 8.073
_cell_length_b 8.073
_cell_length_c 8.073
_cell_angle_alpha 90.00
_cell_angle_beta 90.00
_cell_angle_gamma 90.00
_space_group_name_H-M_alt 'F -4 3 m'
_space_group_IT_number 216
_space_group_name_Hall 'F -4 2 3'
loop_
_atom_site_label
_atom_site_type_symbol
_atom_site_fract_x
_atom_site_fract_y
_atom_site_fract_z
Tb1 Tb 0.000 0.000 0.000
Pm1 Pm 0.250 0.250 0.750
Gd1 Gd 0.000 0.000 0.500
Th1 Th 0.250 0.250 0.250
```

Calculated values
E_tot (eV/cell): -121.1
Spin magnetization (μB per cell): 31.08